Material: K2BiSe2
Method: DFT, PBE
State: optimized geometry

Structure (POSCAR):
```
K2BiSe2
1.0
8.219 0.000 0.000
0.000 8.219 0.000
0.000 0.000 4.600
K Bi Se
4 2 4
Cartesian
1.115 2.995 0.000
2.995 7.104 0.000
5.225 1.115 0.000
7.104 5.225 0.000
0.000 0.000 2.300
4.110 4.110 2.300
1.439 5.549 2.300
2.670 1.439 2.300
5.549 6.780 2.300
6.780 2.670 2.300
```

Crystal system   tetragonal
D(E_F)   0.207 states/eV/atom
ρ   4.76 g/cm³
Formation energy without anion corrections   -0.748 eV/atom

Material: KBiSe3
Method: DFT, PBE
State: optimized geometry

Structure (POSCAR):
```
KBiSe3
1.0
5.578 0.000 0.000
0.000 5.578 0.000
0.000 0.000 5.578
K Bi Se
1 1 3
Cartesian
0.000 0.000 0.000
2.789 2.789 2.789
0.000 0.000 2.789
0.000 2.789 0.000
2.789 0.000 0.000
```

Excess energy over the best structure of this formula in the dataset   1065.3 meV per atom
Crystal system   cubic
D(E_F)   0.626 states/eV/atom
ρ   4.64 g/cm³
Formation energy without anion corrections   0.841 eV/atom

Material: KBi2Se4
Method: DFT, PBE
State: optimized geometry

Structure (POSCAR):
```
KBi2Se4
1.0
2.084 -7.069 0.000
2.084 7.069 0.000
0.000 0.000 14.946
K Bi Se
2 4 8
Cartesian
2.084 5.553 11.209
2.084 -5.553 3.736
2.084 1.946 8.462
2.084 1.946 13.957
2.084 -1.946 0.989
2.084 -1.946 6.484
0.000 0.000 0.000
0.000 0.000 7.473
2.084 3.237 1.647
2.084 3.237 5.826
2.084 1.065 11.209
2.084 -1.065 3.736
2.084 -3.237 9.120
2.084 -3.237 13.299
```

Crystal system   orthorhombic
D(E_F)   0.924 states/eV/atom
ρ   5.83 g/cm³
Formation energy without anion corrections   -0.474 eV/atom

Material: KBiSe
Method: DFT, PBE
State: optimized geometry

Structure (POSCAR):
```
KBiSe
1.0
-1.975 3.033 9.045
1.975 -3.033 9.045
1.975 3.033 -9.045
K Bi Se
2 2 2
Cartesian
0.000 0.000 3.114
0.000 0.000 14.975
1.975 1.617 0.000
0.000 1.416 9.045
0.000 0.000 6.381
0.000 0.000 11.709
```

Crystal system   orthorhombic
D(E_F)   0.234 states/eV/atom
ρ   5.01 g/cm³
Formation energy without anion corrections   -0.379 eV/atom

Material: K3BiSe
Method: DFT, PBE
State: optimized geometry

Structure (POSCAR):
```
K3BiSe
1.0
6.255 0.000 0.000
0.000 6.255 0.000
0.000 0.000 6.255
K Bi Se
3 1 1
Cartesian
0.000 0.000 3.127
0.000 3.127 0.000
3.127 0.000 0.000
3.127 3.127 3.127
0.000 0.000 0.000
```

Excess energy over the best structure of this formula in the dataset   0.0 meV per atom
Crystal system   cubic
D(E_F)   0.982 states/eV/atom
ρ   2.75 g/cm³
Formation energy without anion corrections   -0.462 eV/atom

Material: KBiSe3
Method: DFT, PBE
State: optimized geometry

Structure (POSCAR):
```
KBiSe3
1.0
5.584 0.000 0.000
0.000 5.584 0.000
0.000 0.000 5.584
K Bi Se
1 1 3
Cartesian
0.000 0.000 0.000
2.792 2.792 2.792
0.000 2.792 2.792
2.792 0.000 2.792
2.792 2.792 0.000
```

Excess energy over the best structure of this formula in the dataset   0.0 meV per atom
Crystal system   cubic
D(E_F)   1.232 states/eV/atom
ρ   4.63 g/cm³
Formation energy without anion corrections   -0.225 eV/atom

Material: K2Bi3Se6
Method: DFT, PBE
State: optimized geometry

Structure (POSCAR):
```
K2Bi3Se6
1.0
3.628 -6.286 0.000
3.628 6.286 0.000
-2.422 0.000 8.093
K Bi Se
2 3 6
Cartesian
3.628 4.193 0.000
3.628 -4.193 0.000
-1.211 0.000 4.047
2.417 2.113 4.047
2.417 -2.113 4.047
-0.006 2.102 5.737
1.198 0.000 2.347
-0.006 -2.102 5.737
4.840 2.102 2.357
3.635 0.000 5.747
4.840 -2.102 2.357
```

Crystal system   monoclinic
D(E_F)   0.892 states/eV/atom
ρ   5.30 g/cm³
Formation energy without anion corrections   -0.624 eV/atom

Material: KSiBiSe4
Method: DFT, PBE
State: optimized geometry

Structure (POSCAR):
```
KSiBiSe4
1.0
6.845 0.000 0.000
0.000 7.100 0.000
-2.778 0.000 8.706
K Si Bi Se
2 2 2 8
Cartesian
0.411 1.775 3.803
3.656 5.325 4.903
1.421 5.325 1.531
2.647 1.775 7.176
-0.824 1.775 8.293
4.891 5.325 0.413
-2.045 5.325 8.058
-0.384 5.325 2.911
1.244 3.556 6.791
1.244 7.094 6.791
2.824 0.006 1.915
2.824 3.544 1.915
4.452 1.775 5.796
6.112 1.775 0.648
```

Crystal system   monoclinic
ρ   4.65 g/cm³
Formation energy without anion corrections   -0.664 eV/atom

Q: Look up the ρ of the fifth one.
A: 2.75 g/cm³

Q: The lowest formation energy without anion corrections belongs to which entry?
A: K2BiSe2

Q: What is the ρ in the second record?
A: 4.64 g/cm³